Version P
## MgHgP2 (PBEsol)

Data for a relaxed structure of MgHgP2.

Volume, Å³/atom: 19.0
Crystal system: tetragonal

Unit cell a=3.633 b=3.633 c=5.766 alpha=90.00 beta=90.00 gamma=90.00
Atoms (fractional coordinates):
Hg 0.500 0.500 0.500
Mg 0.500 0.500 0.000
P 0.000 0.000 0.186
P 0.000 0.000 0.814

---

Version Q
## MgHgP2 (PBEsol)

Data for a relaxed structure of MgHgP2.

Volume, Å³/atom: 18.6
Crystal system: monoclinic

Unit cell a=3.689 b=3.946 c=5.547 alpha=113.16 beta=90.00 gamma=90.00
Atoms (fractional coordinates):
Hg 0.500 0.000 0.500
Mg 0.000 0.500 0.500
P 0.000 0.000 0.000
P 0.500 0.500 0.000

---

Least stable structure: version Q

---

Version P
## MgHgS2 (PBEsol)

Data for a relaxed structure of MgHgS2.

Volume, Å³/atom: 23.9
Crystal system: trigonal

Unit cell a=3.936 b=3.936 c=7.479 alpha=74.74 beta=74.74 gamma=60.00
Atoms (fractional coordinates):
Mg 0.500 0.500 0.500
S 0.892 0.892 0.325
S 0.108 0.108 0.675
Hg 0.000 0.000 0.000

---

Version Q
## MgHgS2 (PBEsol)

Data for a relaxed structure of MgHgS2.

Volume, Å³/atom: 23.9
Crystal system: tetragonal

Unit cell a=5.743 b=5.743 c=7.083 alpha=113.92 beta=113.92 gamma=90.00
Atoms (fractional coordinates):
Mg 0.750 0.250 0.500
Mg 0.500 0.500 0.000
S 0.391 0.875 0.250
S 0.859 0.375 0.250
S 0.125 0.141 0.750
S 0.625 0.609 0.750
Hg 0.250 0.750 0.500
Hg 0.000 0.000 0.000

---

Least stable structure: version P

---

Version P
## Mg2HgSb (PBEsol)

Data for a relaxed structure of Mg2HgSb.

Volume, Å³/atom: 23.3
Crystal system: monoclinic

Unit cell a=3.453 b=4.646 c=6.389 alpha=100.95 beta=90.00 gamma=111.81
Atoms (fractional coordinates):
Sb 0.500 0.000 0.000
Mg 0.748 0.495 0.731
Mg 0.252 0.505 0.269
Hg 0.000 0.000 0.500

---

Version Q
## Mg2HgSb (PBEsol)

Data for a relaxed structure of Mg2HgSb.

Volume, Å³/atom: 22.4
Crystal system: tetragonal

Unit cell a=4.222 b=4.222 c=5.839 alpha=111.20 beta=111.20 gamma=90.00
Atoms (fractional coordinates):
Hg 0.250 0.750 0.500
Mg 0.000 0.000 0.000
Mg 0.750 0.250 0.500
Sb 0.500 0.500 0.000

---

Least stable structure: version Q

---

Version P
## Mg2HgSe2 (PBEsol)

Data for a relaxed structure of Mg2HgSe2.

Volume, Å³/atom: 26.0
Crystal system: tetragonal

Unit cell a=4.566 b=4.566 c=7.019 alpha=108.98 beta=108.98 gamma=90.00
Atoms (fractional coordinates):
Mg 0.250 0.750 0.500
Mg 0.750 0.250 0.500
Hg 0.000 0.000 0.000
Se 0.351 0.351 0.702
Se 0.649 0.649 0.298

---

Version Q
## Mg2HgSe2 (PBEsol)

Data for a relaxed structure of Mg2HgSe2.

Volume, Å³/atom: 32.3
Crystal system: tetragonal

Unit cell a=5.207 b=5.207 c=7.001 alpha=111.83 beta=111.83 gamma=90.00
Atoms (fractional coordinates):
Mg 0.247 0.247 0.493
Mg 0.753 0.753 0.507
Hg 0.000 0.000 0.000
Se 0.250 0.750 0.500
Se 0.750 0.250 0.500

---

Least stable structure: version Q